No. 1
Entry from Alexandria: a relaxed structure of Sm4Ni2Au5 (GGA-PBE).

```
Sm4Ni2Au5
1.0
7.318 0.000 0.000
0.000 3.879 0.000
-0.472 0.000 8.606
Sm Ni Au
4 2 5
direct
0.202 0.000 0.356
0.242 0.000 0.908
0.758 0.000 0.092
0.798 0.000 0.644
0.065 0.500 0.127
0.935 0.500 0.873
0.145 0.500 0.635
0.431 0.500 0.159
0.500 0.500 0.500
0.569 0.500 0.841
0.855 0.500 0.365
```

Summary:
As for the final energy: -54.21 eV for the cell shown. The symmetry is No. 10. The value obtained for the formation energy is -0.671 eV/atom.

No. 2
Entry from Alexandria: a relaxed structure of Pa2Al3Re (GGA-PBE).

```
Pa2Al3Re
1.0
4.612 -2.652 0.000
4.612 2.652 0.000
-3.077 0.000 4.631
Pa Al Re
2 3 1
direct
0.137 0.137 0.409
0.863 0.863 0.591
0.000 0.500 0.000
0.500 0.000 0.000
0.500 0.500 0.000
0.500 0.500 0.500
```

Summary:
As for the final energy: -44.57 eV for the cell shown. The symmetry is No. 12. The value obtained for the formation energy is -0.317 eV/atom.

No. 3
Entry from Alexandria: a relaxed structure of PuMn2PS (GGA-PBE).

```
PuMn2PS
1.0
1.883 -5.618 0.000
1.883 5.618 0.000
0.000 0.000 7.173
Pu Mn P S
2 4 2 2
direct
0.050 0.950 0.750
0.950 0.050 0.250
0.309 0.691 0.562
0.309 0.691 0.938
0.691 0.309 0.062
0.691 0.309 0.438
0.234 0.766 0.250
0.766 0.234 0.750
0.500 0.500 0.000
0.500 0.500 0.500
```

Summary:
As for the final energy: -92.47 eV for the cell shown. The symmetry is No. 63. The formation energy from raw total energies is -0.8054 eV/atom.

No. 4
Entry from Alexandria: a relaxed structure of ScFe2Os (GGA-PBE).

```
ScFe2Os
1.0
1.555 -2.227 0.000
1.555 2.227 0.000
0.000 0.000 8.286
Sc Fe Os
1 2 1
direct
0.000 0.000 0.000
0.000 0.000 0.514
0.500 0.500 0.734
0.500 0.500 0.269
```

Summary:
The energy above the most stable polymorph in this dataset is 0.1872 eV/atom. As for the final energy: -33.77 eV for the cell shown. The symmetry is No. 35. The value obtained for the formation energy is 0.180 eV/atom.

No. 5
Entry from Alexandria: a relaxed structure of Tl2TcPb (GGA-PBE).

```
Tl2TcPb
1.0
2.138 -2.438 0.000
2.138 2.438 0.000
0.000 0.000 9.430
Tl Tc Pb
2 1 1
direct
0.000 0.000 0.204
0.000 0.000 0.796
0.500 0.500 0.000
0.500 0.500 0.500
```

Summary:
The energy above the most stable polymorph in this dataset is 0.1470 eV/atom. As for the final energy: -16.48 eV for the cell shown. The symmetry is No. 65. The value obtained for the formation energy is 0.583 eV/atom.

No. 6
Entry from Alexandria: a relaxed structure of TaPCl (GGA-PBE).

```
TaPCl
1.0
3.390 0.000 0.000
-1.695 2.935 0.000
0.000 0.000 6.534
Ta P Cl
1 1 1
direct
0.000 0.000 0.000
0.333 0.667 0.772
0.667 0.333 0.265
```

Summary:
The energy above the most stable polymorph in this dataset is 0.0000 eV/atom. As for the final energy: -20.61 eV for the cell shown. The symmetry is No. 156. The formation energy from raw total energies is -0.5011 eV/atom.

No. 7
Entry from Alexandria: a relaxed structure of ScTi3Nb (GGA-PBE).

```
ScTi3Nb
1.0
4.588 0.000 0.000
0.000 4.588 0.000
0.000 0.000 4.588
Sc Ti Nb
1 3 1
direct
0.000 0.000 0.000
0.000 0.000 0.500
0.000 0.500 0.000
0.500 0.000 0.000
0.500 0.500 0.500
```

Summary:
The energy above the most stable polymorph in this dataset is 0.4997 eV/atom. As for the final energy: -33.96 eV for the cell shown. The symmetry is No. 221. The value obtained for the formation energy is 1.225 eV/atom.

No. 8
Entry from Alexandria: a relaxed structure of ZrBiIr2Os (GGA-PBE).

```
ZrBiIr2Os
1.0
4.812 0.000 0.000
0.000 4.812 0.000
0.000 0.000 5.445
Zr Bi Ir Os
1 1 2 1
direct
0.000 0.000 0.000
0.000 0.000 0.500
0.000 0.500 0.000
0.500 0.000 0.000
0.500 0.500 0.500
```

Summary:
As for the final energy: -30.89 eV for the cell shown. The symmetry is No. 123. The value obtained for the formation energy is 2.098 eV/atom.

Taking the records one at a time from the top gives N(E_F) values of 8.0 6.8 19.1 3.7 2.2 2.4 7.8 8.2 states/eV/cell.